[1]
Computed, not measured: Ca4RePb at its PBEsol-relaxed geometry at the SCAN level of DFT.

Values from the calculation:
The crystal system is cubic. The density is 6.1 g cm⁻³. Its calculated formation energy is 93.72 kJ per mole of atoms.

a b c (Å): 8.469 8.469 8.469
angles (deg): 90.00 90.00 90.00
Space group F-43m (No. 216)
One atom of each set of equivalent atoms:
Ca 0.124 0.124 0.124 (multiplicity 16)
Re 0.250 0.250 0.750 (multiplicity 4)
Pb 0.000 0.000 0.500 (multiplicity 4)

=====

[2]
Computed, not measured: FeBIr3 at its PBEsol-relaxed geometry at the SCAN level of DFT.

Values from the calculation:
The crystal system is cubic. The density is 16.1 g cm⁻³. Its calculated formation energy is 6.90 kJ per mole of atoms.

a b c (Å): 4.045 4.045 4.045
angles (deg): 90.00 90.00 90.00
Space group Pm-3m (No. 221)
One atom of each set of equivalent atoms:
Fe 0.000 0.000 0.000 (multiplicity 1)
B 0.500 0.500 0.500 (multiplicity 1)
Ir 0.000 0.500 0.500 (multiplicity 3)

=====

Number 1: density of states at the Fermi level 28.9 states/eV/cell. Number 2: density of states at the Fermi level 3.1 states/eV/cell.